(1)
# RuCF2

A relaxed structure of RuCF2 (PBE, the Alexandria database).

It has space group R-3m (No. 166, hexagonal axes), with a = 2.5983 Å, b = 2.5983 Å, c = 23.1405 Å, α = 90.00°, β = 90.00° and γ = 120.00°. Symmetry generates all atoms from Ru at (0.0000, 0.0000, 0.0000), C at (0.0000, 0.0000, 0.5000) and F at (0.0000, 0.0000, 0.0838).

As for the uncorrected formation energy: 0.74 eV/atom.

=====

(2)
# RuC2F

A relaxed structure of RuC2F (PBE, the Alexandria database).

It has space group I-42d (No. 122), with a = 4.831 Å, b = 4.831 Å, c = 9.137 Å, α = 90.00°, β = 90.00° and γ = 90.00°. Symmetry generates all atoms from Ru at (0.000, 0.000, 0.000), C at (0.183, 0.250, 0.125) and F at (0.000, 0.000, 0.500).

As for the uncorrected formation energy: 1.11 eV/atom.

=====

(3)
# Ru3CF

A relaxed structure of Ru3CF (PBE, the Alexandria database).

It has space group Pm-3m (No. 221), with a = 4.045 Å, b = 4.045 Å, c = 4.045 Å, α = 90.00°, β = 90.00° and γ = 90.00°. Symmetry generates all atoms from Ru at (0.000, 0.000, 0.500), C at (0.000, 0.000, 0.000) and F at (0.500, 0.500, 0.500).

As for the uncorrected formation energy: 0.61 eV/atom.

=====

(4)
# RuCF3

A relaxed structure of RuCF3 (PBE, the Alexandria database).

It has space group Pm-3m (No. 221), with a = 4.084 Å, b = 4.084 Å, c = 4.084 Å, α = 90.00°, β = 90.00° and γ = 90.00°. Symmetry generates all atoms from Ru at (0.000, 0.000, 0.000), C at (0.500, 0.500, 0.500) and F at (0.000, 0.000, 0.500).

As for the uncorrected formation energy: 0.56 eV/atom.

=====

(5)
# RuCF3

A relaxed structure of RuCF3 (PBE, the Alexandria database).

It has space group Pm-3m (No. 221), with a = 3.914 Å, b = 3.914 Å, c = 3.914 Å, α = 90.00°, β = 90.00° and γ = 90.00°. Symmetry generates all atoms from Ru at (0.000, 0.000, 0.000), C at (0.500, 0.500, 0.500) and F at (0.000, 0.500, 0.500).

As for the uncorrected formation energy: 0.65 eV/atom.

=====

(6)
# RuCF2

A relaxed structure of RuCF2 (PBE, the Alexandria database).

It has space group Fm-3m (No. 225), with a = 5.575 Å, b = 5.575 Å, c = 5.575 Å, α = 90.00°, β = 90.00° and γ = 90.00°. Symmetry generates all atoms from Ru at (0.000, 0.000, 0.000), C at (0.000, 0.000, 0.500) and F at (0.250, 0.250, 0.250).

As for the uncorrected formation energy: 0.98 eV/atom.